This record from the Alexandria database describes crystalline K2MnPt at its relaxed geometry. The functional is GGA-PBE.

The space group is Imm2 (No. 44) and the conventional cell measures 4.089, 5.703 and 10.881 Å, with angles of 90.00, 90.00 and 90.00 degrees. The asymmetric unit holds K at (0.000, 0.000, 0.000), K at (0.000, 0.500, 0.198), Mn at (0.000, 0.500, 0.801) and Pt at (0.000, 0.000, 0.428).

The calculation puts the total magnetic moment at 9.7 Bohr magnetons per cell. The energy comes out at -4.0942 eV per atom. The value obtained for the formation energy is 0.26 eV/atom. The value obtained for the polymorph energy (0 for the lowest one) is 138 meV/atom.